1.
# Mg5ZnGa2 PBE optimized geometry
data_Mg5ZnGa2
_cell_length_a 4.6477
_cell_length_b 4.6477
_cell_length_c 17.7846
_cell_angle_alpha 90.00
_cell_angle_beta 90.00
_cell_angle_gamma 120.00
_space_group_name_H-M_alt 'P 63/m m c'
_space_group_IT_number 194
_space_group_name_Hall '-P 6c 2c'
loop_
_atom_site_label
_atom_site_type_symbol
_atom_site_fract_x
_atom_site_fract_y
_atom_site_fract_z
Mg1 Mg 0.0000 0.0000 0.1574
Mg2 Mg 0.3333 0.6667 0.0511
Mg3 Mg 0.3333 0.6667 0.2500
Zn1 Zn 0.3333 0.6667 0.7500
Ga1 Ga 0.3333 0.6667 0.6057
# Formation enthalpy at 0 K (eV/atom): -0.08
# Crystal system: hexagonal
# Energy above the most stable polymorph in this dataset (eV per formula unit): 0.00
# DFT total energy (eV per atom): -1.990

2.
# MgZn14Ga PBE optimized geometry
data_MgZn14Ga
_cell_length_a 9.8711
_cell_length_b 5.3968
_cell_length_c 9.4341
_cell_angle_alpha 90.00
_cell_angle_beta 90.00
_cell_angle_gamma 90.00
_space_group_name_H-M_alt 'A m m 2'
_space_group_IT_number 38
loop_
_space_group_symop_operation_xyz
'x,y,z'
'-x,-y,z'
'-x,y,z'
'x,-y,z'
'x,y+1/2,z+1/2'
'-x,-y+1/2,z+1/2'
'-x,y+1/2,z+1/2'
'x,-y+1/2,z+1/2'
loop_
_atom_site_label
_atom_site_type_symbol
_atom_site_fract_x
_atom_site_fract_y
_atom_site_fract_z
Mg1 Mg 0.0000 0.0000 0.0000
Zn1 Zn 0.0000 0.2491 0.7500
Zn2 Zn 0.2526 0.0000 0.8246
Zn3 Zn 0.2551 0.0000 0.3235
Zn4 Zn 0.2602 0.2498 0.0755
Zn5 Zn 0.5000 0.0000 0.4930
Zn6 Zn 0.5000 0.0000 0.9932
Zn7 Zn 0.5000 0.2498 0.2447
Ga1 Ga 0.0000 0.0000 0.5018
# Formation enthalpy at 0 K (eV/atom): 0.00
# Crystal system: orthorhombic
# DFT total energy (eV per atom): -1.407

3.
# MgZn4Ga2 PBE optimized geometry
data_MgZn4Ga2
_cell_length_a 3.9789
_cell_length_b 4.8035
_cell_length_c 6.6648
_cell_angle_alpha 85.30
_cell_angle_beta 89.12
_cell_angle_gamma 67.43
_space_group_name_H-M_alt 'P -1'
_space_group_IT_number 2
loop_
_space_group_symop_operation_xyz
'x,y,z'
'-x,-y,-z'
loop_
_atom_site_label
_atom_site_type_symbol
_atom_site_fract_x
_atom_site_fract_y
_atom_site_fract_z
Mg1 Mg 0.0000 0.0000 0.0000
Zn1 Zn 0.1366 0.7209 0.4319
Zn2 Zn 0.4246 0.1481 0.3046
Ga1 Ga 0.2919 0.4270 0.8367
# Formation enthalpy at 0 K (eV/atom): -0.02
# Crystal system: triclinic
# Energy above the most stable polymorph in this dataset (eV per formula unit): 0.00
# DFT total energy (eV per atom): -1.844

4.
# Mg8ZnGa2 PBE optimized geometry
data_Mg8ZnGa2
_cell_length_a 15.7198
_cell_length_b 4.5921
_cell_length_c 6.9424
_cell_angle_alpha 90.00
_cell_angle_beta 114.49
_cell_angle_gamma 90.00
_space_group_name_H-M_alt 'C 1 2/m 1'
_space_group_IT_number 12
loop_
_space_group_symop_operation_xyz
'x,y,z'
'-x,-y,-z'
'-x,y,-z'
'x,-y,z'
'x+1/2,y+1/2,z'
'-x+1/2,-y+1/2,-z'
'-x+1/2,y+1/2,-z'
'x+1/2,-y+1/2,z'
loop_
_atom_site_label
_atom_site_type_symbol
_atom_site_fract_x
_atom_site_fract_y
_atom_site_fract_z
Mg1 Mg 0.0256 0.0000 0.2837
Mg2 Mg 0.0944 0.5000 0.9465
Mg3 Mg 0.1673 0.5000 0.4312
Mg4 Mg 0.1864 0.0000 0.7723
Zn1 Zn 0.0000 0.5000 0.5000
Ga1 Ga 0.1805 0.0000 0.1742
# Formation enthalpy at 0 K (eV/atom): -0.08
# Crystal system: monoclinic
# Energy above the most stable polymorph in this dataset (eV per formula unit): 0.00
# DFT total energy (eV per atom): -1.901